# Cs2MnBr2F2, relaxed, DFT GGA+U
data_Cs2MnBr2F2
_chemical_formula_sum 'Cs4 Mn2 Br4 F4'
_symmetry_space_group_name_H-M 'P 1'
_symmetry_Int_Tables_number 1
_symmetry_space_group_name_Hall 'P 1'
_cell_length_a 4.843
_cell_length_b 4.843
_cell_length_c 17.152
_cell_angle_alpha 90.00
_cell_angle_beta 90.00
_cell_angle_gamma 90.00
loop_
_atom_site_label
_atom_site_fract_x
_atom_site_fract_y
_atom_site_fract_z
Cs1 0.000 0.000 0.120
Cs2 0.000 0.000 0.880
Cs3 0.500 0.500 0.380
Cs4 0.500 0.500 0.620
Mn1 0.000 0.000 0.500
Mn2 0.500 0.500 0.000
Br1 0.000 0.000 0.346
Br2 0.000 0.000 0.654
Br3 0.500 0.500 0.154
Br4 0.500 0.500 0.846
F1 0.000 0.500 0.000
F2 0.000 0.500 0.500
F3 0.500 0.000 0.000
F4 0.500 0.000 0.500
# V: 402.37 Å³ per cell
# Total energy: -4.38 eV/atom